GaTe4Pd PBE optimized geometry; SG = No. 109; ΔE_f (raw) = -3.6 kJ per mole of atoms; crystal system = tetragonal; energy = -3.502 eV per atom; total magnetic moment = 0.00 μB per cell
1.0
7.7191 -0.1041 0.0000
-3.2122 7.0198 0.0000
-2.2534 -3.4578 6.5239
Ga Te Pd
2 8 2
direct
0.7525 0.7525 0.0000
0.5025 0.0025 0.5000
0.2451 0.9356 0.6906
0.7555 0.4449 0.6895
0.6856 0.4951 0.1906
0.1949 0.0055 0.1895
0.3045 0.4951 0.8094
0.8160 0.0055 0.8105
0.7555 0.0660 0.3105
0.2451 0.5545 0.3094
0.2464 0.2464 0.0000
0.9964 0.4964 0.5000